Computed, not measured: a relaxed HfRe2Te crystal at the PBE level of DFT.

Unit cell a=3.966 b=3.966 c=10.747 alpha=79.37 beta=79.37 gamma=90.00
Sites, in units of the cell vectors:
Re 0.689 0.125 0.250
Re 0.061 0.625 0.250
Re 0.375 0.311 0.750
Re 0.875 0.939 0.750
Te 0.500 0.500 0.000
Te 0.250 0.750 0.500
Hf 0.000 0.000 0.000
Hf 0.750 0.250 0.500

- ΔE_f (raw): 612 meV per atom
- SG: I-42d, No. 122